Arrangement 1

ErReB4 | PBE | relaxed

Lattice parameters (Å, degrees): 3.603 5.953 11.514 90.00 90.00 90.00
Element x y z (fractional)
Er 0.500 0.873 0.150
Er 0.500 0.127 0.850
Er 0.500 0.373 0.350
Er 0.500 0.627 0.650
Re 0.500 0.867 0.412
Re 0.500 0.133 0.588
Re 0.500 0.367 0.088
Re 0.500 0.633 0.912
B 0.000 0.522 0.193
B 0.000 0.478 0.807
B 0.000 0.022 0.307
B 0.000 0.978 0.693
B 0.000 0.614 0.048
B 0.000 0.386 0.952
B 0.000 0.114 0.452
B 0.000 0.886 0.548
B 0.000 0.636 0.469
B 0.000 0.364 0.531
B 0.000 0.136 0.031
B 0.000 0.864 0.969
B 0.000 0.712 0.315
B 0.000 0.288 0.685
B 0.000 0.212 0.185
B 0.000 0.788 0.815

=====

Arrangement 2

ErReB4 | PBE | relaxed

Lattice parameters (Å, degrees): 3.143 4.688 4.688 69.68 70.42 70.42
Element x y z (fractional)
Er 0.000 0.000 0.000
Re 0.500 0.500 0.500
B 0.250 0.414 0.086
B 0.250 0.086 0.414
B 0.750 0.586 0.914
B 0.750 0.914 0.586

=====

The energy of each structure relative to the most stable one, in meV per atom, is as follows: arrangement 1 0; arrangement 2 274.

=====

Arrangement 1

Er2B6Ru | PBE | relaxed

Lattice parameters (Å, degrees): 3.636 9.099 11.466 90.00 90.00 90.00
Element x y z (fractional)
Er 0.000 0.322 0.414
Er 0.000 0.678 0.586
Er 0.000 0.822 0.086
Er 0.000 0.178 0.914
Er 0.000 0.944 0.373
Er 0.000 0.056 0.627
Er 0.000 0.444 0.127
Er 0.000 0.556 0.873
B 0.500 0.553 0.433
B 0.500 0.447 0.567
B 0.500 0.053 0.067
B 0.500 0.947 0.933
B 0.500 0.748 0.420
B 0.500 0.252 0.580
B 0.500 0.248 0.080
B 0.500 0.752 0.920
B 0.500 0.791 0.266
B 0.500 0.209 0.734
B 0.500 0.291 0.234
B 0.500 0.709 0.766
B 0.500 0.631 0.185
B 0.500 0.369 0.815
B 0.500 0.131 0.315
B 0.500 0.869 0.685
B 0.500 0.983 0.213
B 0.500 0.017 0.787
B 0.500 0.483 0.287
B 0.500 0.517 0.713
B 0.500 0.609 0.030
B 0.500 0.391 0.970
B 0.500 0.109 0.470
B 0.500 0.891 0.530
Ru 0.000 0.638 0.321
Ru 0.000 0.362 0.679
Ru 0.000 0.138 0.179
Ru 0.000 0.862 0.821

=====

Arrangement 2

Er2B6Ru | PBE | relaxed

Lattice parameters (Å, degrees): 3.468 5.338 6.625 113.76 105.17 90.00
Element x y z (fractional)
Er 0.839 0.839 0.677
Er 0.161 0.161 0.323
B 0.620 0.770 0.241
B 0.380 0.230 0.759
B 0.380 0.529 0.759
B 0.500 0.168 0.000
B 0.500 0.832 0.000
B 0.620 0.471 0.241
Ru 0.000 0.500 0.000

=====

The energy of each structure relative to the most stable one, in meV per atom, is as follows: arrangement 1 0; arrangement 2 347.

=====

Arrangement 1

ErBS | PBE | relaxed

Lattice parameters (Å, degrees): 3.362 3.868 7.633 104.68 90.00 90.00
Element x y z (fractional)
Er 0.250 0.602 0.204
Er 0.750 0.398 0.796
B 0.250 0.982 0.964
B 0.750 0.018 0.036
S 0.250 0.248 0.497
S 0.750 0.752 0.503

=====

Arrangement 2

ErBS | PBE | relaxed

Lattice parameters (Å, degrees): 4.070 3.336 16.671 90.00 90.00 90.00
Element x y z (fractional)
S 0.004 0.750 0.819
S 0.496 0.750 0.319
S 0.996 0.250 0.181
S 0.504 0.250 0.681
B 0.000 0.250 0.508
B 0.500 0.250 0.008
B 0.000 0.750 0.492
B 0.500 0.750 0.992
Er 0.004 0.750 0.646
Er 0.496 0.750 0.146
Er 0.996 0.250 0.354
Er 0.504 0.250 0.854

=====

The energy of each structure relative to the most stable one, in meV per atom, is as follows: arrangement 1 384; arrangement 2 0.

=====

Arrangement 1

ErSc2B6 | PBE | relaxed

Lattice parameters (Å, degrees): 3.642 5.516 5.516 120.00 90.00 90.00
Element x y z (fractional)
Er 0.000 0.000 0.000
Sc 0.000 0.333 0.667
Sc 0.000 0.667 0.333
B 0.500 0.338 0.338
B 0.500 0.662 0.662
B 0.500 0.000 0.662
B 0.500 0.662 0.000
B 0.500 0.338 0.000
B 0.500 0.000 0.338

=====

Arrangement 2

ErSc2B6 | PBE | relaxed

Lattice parameters (Å, degrees): 3.345 5.874 5.874 79.61 73.46 73.46
Element x y z (fractional)
Er 0.500 0.500 0.500
Sc 0.332 0.168 0.168
Sc 0.668 0.832 0.832
B 0.193 0.574 0.039
B 0.807 0.426 0.961
B 0.807 0.961 0.426
B 0.000 0.122 0.878
B 0.000 0.878 0.122
B 0.193 0.039 0.574

=====

The energy of each structure relative to the most stable one, in meV per atom, is as follows: arrangement 1 0; arrangement 2 431.

=====

Arrangement 1

TbErB4 | PBE | relaxed

Lattice parameters (Å, degrees): 4.757 4.757 4.757 60.00 60.00 60.00
Element x y z (fractional)
B 0.657 0.657 0.029
B 0.657 0.029 0.657
B 0.657 0.657 0.657
B 0.029 0.657 0.657
Tb 0.250 0.250 0.250
Er 0.000 0.000 0.000

=====

Arrangement 2

TbErB4 | PBE | relaxed

Lattice parameters (Å, degrees): 3.566 3.566 6.288 106.47 106.47 90.00
Element x y z (fractional)
Tb 0.250 0.750 0.500
Er 0.000 0.000 0.000
B 0.671 0.171 0.342
B 0.578 0.578 0.155
B 0.829 0.329 0.658
B 0.422 0.422 0.845

=====

The energy of each structure relative to the most stable one, in meV per atom, is as follows: arrangement 1 707; arrangement 2 0.

=====

Arrangement 1

ErTcB2 | PBE | relaxed

Lattice parameters (Å, degrees): 5.268 5.928 6.414 90.00 90.00 90.00
Element x y z (fractional)
Er 0.750 0.985 0.338
Er 0.750 0.485 0.162
Er 0.250 0.015 0.662
Er 0.250 0.515 0.838
Tc 0.750 0.818 0.814
Tc 0.750 0.318 0.686
Tc 0.250 0.182 0.186
Tc 0.250 0.682 0.314
B 0.922 0.630 0.535
B 0.578 0.130 0.965
B 0.422 0.370 0.465
B 0.078 0.870 0.035
B 0.078 0.370 0.465
B 0.422 0.870 0.035
B 0.578 0.630 0.535
B 0.922 0.130 0.965

=====

Arrangement 2

ErTcB2 | PBE | relaxed

Lattice parameters (Å, degrees): 3.354 6.002 10.232 90.00 90.00 90.00
Element x y z (fractional)
Er 0.750 0.388 0.361
Er 0.250 0.612 0.639
Er 0.750 0.888 0.139
Er 0.250 0.112 0.861
Tc 0.750 0.372 0.063
Tc 0.250 0.628 0.937
Tc 0.750 0.872 0.437
Tc 0.250 0.128 0.563
B 0.250 0.032 0.325
B 0.750 0.968 0.675
B 0.250 0.532 0.175
B 0.750 0.468 0.825
B 0.250 0.229 0.189
B 0.750 0.771 0.811
B 0.250 0.729 0.311
B 0.750 0.271 0.689

=====

The energy of each structure relative to the most stable one, in meV per atom, is as follows: arrangement 1 0; arrangement 2 155.

=====

Arrangement 1

ErTcB | PBE | relaxed

Lattice parameters (Å, degrees): 3.398 5.328 5.974 116.48 106.52 90.00
Element x y z (fractional)
Er 0.292 0.292 0.585
Er 0.708 0.708 0.415
Tc 0.000 0.250 0.000
Tc 0.000 0.750 0.000
B 0.585 0.085 0.170
B 0.415 0.915 0.830

=====

Arrangement 2

ErTcB | PBE | relaxed

Lattice parameters (Å, degrees): 3.910 3.910 10.827 123.01 123.01 61.69
Element x y z (fractional)
Tc 0.122 0.122 0.952
Tc 0.878 0.878 0.048
Er 0.524 0.524 0.692
Er 0.476 0.476 0.308
B 0.399 0.399 0.891
B 0.601 0.601 0.109

=====

Arrangement 3

ErTcB | PBE | relaxed

Lattice parameters (Å, degrees): 4.068 3.723 3.723 120.00 90.00 90.00
Element x y z (fractional)
B 0.167 0.667 0.333
Tc 0.167 0.000 0.000
Er 0.667 0.333 0.667

=====

The energy of each structure relative to the most stable one, in meV per atom, is as follows: arrangement 1 0; arrangement 2 250; arrangement 3 64.

=====

Arrangement 1

ErTc2B6 | PBE | relaxed

Lattice parameters (Å, degrees): 3.493 5.303 5.303 120.00 90.00 90.00
Element x y z (fractional)
Er 0.000 0.000 0.000
Tc 0.000 0.333 0.667
Tc 0.000 0.667 0.333
B 0.500 0.340 0.340
B 0.500 0.660 0.660
B 0.500 0.000 0.660
B 0.500 0.660 0.000
B 0.500 0.340 0.000
B 0.500 0.000 0.340

=====

Arrangement 2

ErTc2B6 | PBE | relaxed

Lattice parameters (Å, degrees): 3.116 5.670 5.670 73.40 74.05 74.05
Element x y z (fractional)
Er 0.500 0.500 0.500
Tc 0.339 0.161 0.161
Tc 0.661 0.839 0.839
B 0.190 0.565 0.055
B 0.810 0.435 0.945
B 0.810 0.945 0.435
B 0.000 0.156 0.844
B 0.000 0.844 0.156
B 0.190 0.055 0.565

=====

The energy of each structure relative to the most stable one, in meV per atom, is as follows: arrangement 1 120; arrangement 2 0.

=====

Arrangement 1

ErTmB4 | PBE | relaxed

Lattice parameters (Å, degrees): 3.515 3.515 6.235 106.37 106.37 90.00
Element x y z (fractional)
Er 0.250 0.750 0.500
Tm 0.000 0.000 0.000
B 0.671 0.171 0.341
B 0.579 0.579 0.158
B 0.829 0.329 0.659
B 0.421 0.421 0.842

=====

Arrangement 2

ErTmB4 | PBE | relaxed

Lattice parameters (Å, degrees): 4.704 4.704 4.704 60.00 60.00 60.00
Element x y z (fractional)
B 0.656 0.656 0.033
B 0.656 0.033 0.656
B 0.656 0.656 0.656
B 0.033 0.656 0.656
Tm 0.000 0.000 0.000
Er 0.250 0.250 0.250

=====

The energy of each structure relative to the most stable one, in meV per atom, is as follows: arrangement 1 0; arrangement 2 757.

=====

Arrangement 1

EuBIr | PBE | relaxed

Lattice parameters (Å, degrees): 4.633 3.652 3.652 120.00 90.00 90.00
Site moments in Bohr magnetons follow the coordinates.
Element x y z (fractional)
Eu 0.667 0.333 0.667  6.79
B 0.167 0.667 0.333  -0.01
Ir 0.167 0.000 0.000  -0.01

=====

Arrangement 2

EuBIr | PBE | relaxed

Lattice parameters (Å, degrees): 2.942 2.942 5.817 104.65 104.65 90.00
Site moments in Bohr magnetons follow the coordinates.
Element x y z (fractional)
Eu 0.008 0.008 0.016  6.89
B 0.709 0.709 0.418  -0.05
Ir 0.283 0.283 0.567  -0.02

=====

The energy of each structure relative to the most stable one, in meV per atom, is as follows: arrangement 1 0; arrangement 2 359.